Material: Rb2ZrHCl6
Method: DFT, PBE-GGA
State: relaxed

The total energy comes out at -3.96 eV per atom.

```
Rb2ZrHCl6
1.0
7.863 0.000 0.000
0.000 7.863 0.000
3.932 3.932 4.547
H Rb Zr Cl
1 2 1 6
direct
0.500 0.500 0.000
0.750 0.250 0.500
0.250 0.750 0.500
0.000 0.000 0.000
0.266 0.266 0.468
0.734 0.734 0.532
0.226 0.226 0.000
0.774 0.774 0.000
0.774 0.226 0.000
0.226 0.774 0.000
```



Material: ReHCl3
Method: DFT, PBE-GGA
State: relaxed

The energy above the most stable polymorph in this dataset is 0.000 eV/atom.

```
ReHCl3
1.0
-1.570 5.030 3.653
-6.760 0.315 -3.339
-3.073 -6.625 7.801
Re H Cl
4 4 12
direct
0.018 0.938 0.866
0.982 0.938 0.366
0.018 0.062 0.634
0.982 0.062 0.134
0.217 0.882 0.774
0.217 0.118 0.726
0.783 0.882 0.274
0.783 0.118 0.226
0.151 0.337 0.589
0.849 0.337 0.089
0.174 0.799 0.194
0.260 0.120 0.984
0.826 0.799 0.694
0.849 0.663 0.411
0.260 0.880 0.516
0.174 0.201 0.306
0.740 0.880 0.016
0.826 0.201 0.806
0.151 0.663 0.911
0.740 0.120 0.484
```



Material: Re3HCl
Method: DFT, PBE-GGA
State: relaxed

The energy above the most stable polymorph in this dataset is 0.000 eV/atom.

```
Re3HCl
1.0
4.012 0.000 0.000
0.000 4.012 0.000
0.000 0.000 4.012
Re H Cl
3 1 1
direct
0.000 0.500 0.000
0.000 0.000 0.500
0.500 0.000 0.000
0.000 0.000 0.000
0.500 0.500 0.500
```



| no. | density of states at the Fermi level (states/eV per cell) | M_tot (μB/cell) |
| --- | --- | --- |
| 1 | 0.00 | 1.000 |
| 2 | 1.30 | 4.091 |
| 3 | 5.20 | 0.000 |